# 1
DyLu3Pb2C2, relaxed, DFT PBE; symmetry = P3m1 (156)
1.0
-0.593 2.325 -2.648
-2.694 -1.030 2.111
3.110 11.966 9.810
Lu C Pb Dy
3 2 2 1
Direct
0.000 0.000 0.419
0.333 0.667 0.917
0.333 0.667 0.581
0.667 0.333 0.997
0.667 0.333 0.500
0.333 0.667 0.253
0.000 0.000 0.749
0.000 0.000 0.083

---

# 2
DyLuCS, relaxed, DFT PBE; symmetry = P-3m1 (164)
1.0
3.656 0.000 0.000
-1.828 3.166 0.000
0.000 0.000 12.730
C Lu Dy S
2 2 2 2
Direct
0.000 0.000 0.500
0.000 0.000 0.000
0.667 0.333 0.399
0.333 0.667 0.601
0.333 0.667 0.894
0.667 0.333 0.106
0.333 0.667 0.256
0.667 0.333 0.744

---

# 3
DyLuCS, relaxed, DFT PBE; symmetry = P-6m2 (187)
1.0
-2.583 2.237 -1.302
-0.855 -3.429 0.939
-2.598 3.889 11.839
Lu S C Dy
2 2 2 2
Direct
0.667 0.333 0.644
0.667 0.333 0.356
0.333 0.667 0.500
0.667 0.333 0.000
0.000 0.000 0.256
0.000 0.000 0.744
0.333 0.667 0.149
0.333 0.667 0.851

---

# 4
DyLuCS, relaxed, DFT PBE; symmetry = P6_3mc (186)
1.0
-2.485 2.208 1.522
2.495 -1.662 2.094
7.865 9.896 -1.514
S C Dy Lu
2 2 2 2
Direct
0.667 0.333 0.746
0.333 0.667 0.246
0.000 0.000 0.002
0.000 0.000 0.502
0.333 0.667 0.897
0.667 0.333 0.397
0.333 0.667 0.604
0.667 0.333 0.104

---

# 5
Dy3LuTe2C2, relaxed, DFT PBE; symmetry = P3m1 (156)
1.0
3.807 0.000 0.000
-1.903 3.297 0.000
0.000 0.000 13.954
Dy Te C Lu
3 2 2 1
Direct
0.667 0.333 0.595
0.333 0.667 0.090
0.333 0.667 0.407
0.333 0.667 0.754
0.667 0.333 0.248
0.000 0.000 0.501
0.000 0.000 0.997
0.667 0.333 0.907

---

# 6
DyLuTeC, relaxed, DFT PBE; symmetry = P-6m2 (187)
1.0
-1.539 -3.231 -1.241
2.173 2.072 -2.309
11.200 -6.980 4.279
Te Lu C Dy
2 2 2 2
Direct
0.667 0.333 0.500
0.333 0.667 0.000
0.667 0.333 0.845
0.667 0.333 0.155
0.000 0.000 0.245
0.000 0.000 0.755
0.333 0.667 0.660
0.333 0.667 0.340

---

How do the records compare in VASP energy? In the order shown, they have -6.04 -6.91 -6.90 -6.91 -6.26 -6.25 eV/atom.